Compound: EuHoScTl
Source: the Alexandria database
Functional: PBE-GGA
Structure: optimized geometry

Values from the calculation:
- Energy of formation from the pure elements: -22 meV per atom
- Total energy: -5.91 eV/atom
- N(E_F): 5.116 states/eV/cell
- Spin magnetization: 7.80 μB/cell

a = 5.457 Å, b = 5.457 Å, c = 5.457 Å
α = 60.00°, β = 60.00°, γ = 60.00°
Element x y z (fractional)
Sc1 0.000 0.000 0.000
Ho1 0.250 0.250 0.250
Eu1 0.750 0.750 0.750
Tl1 0.500 0.500 0.500


Compound: EuHoTmSc
Source: the Alexandria database
Functional: PBE-GGA
Structure: optimized geometry

Values from the calculation:
- Energy of formation from the pure elements: 184 meV per atom
- Total energy: -6.23 eV/atom
- N(E_F): 7.699 states/eV/cell
- Spin magnetization: 8.19 μB/cell

a = 5.579 Å, b = 5.579 Å, c = 5.579 Å
α = 60.00°, β = 60.00°, γ = 60.00°
Element x y z (fractional)
Eu1 0.500 0.500 0.500
Sc1 0.000 0.000 0.000
Tm1 0.750 0.750 0.750
Ho1 0.250 0.250 0.250


Compound: EuYHoSc
Source: the Alexandria database
Functional: PBE-GGA
Structure: optimized geometry

Values from the calculation:
- Energy of formation from the pure elements: 179 meV per atom
- Total energy: -6.73 eV/atom
- N(E_F): 7.811 states/eV/cell
- Spin magnetization: 8.17 μB/cell

a = 5.618 Å, b = 5.618 Å, c = 5.618 Å
α = 60.00°, β = 60.00°, γ = 60.00°
Element x y z (fractional)
Ho1 0.250 0.250 0.250
Sc1 0.000 0.000 0.000
Eu1 0.500 0.500 0.500
Y1 0.750 0.750 0.750


Compound: EuHo2Se
Source: the Alexandria database
Functional: PBE-GGA
Structure: optimized geometry

Values from the calculation:
- Total energy: -6.34 eV/atom
- N(E_F): 4.322 states/eV/cell
- Spin magnetization: 7.56 μB/cell

a = 3.778 Å, b = 3.778 Å, c = 10.667 Å
α = 79.80°, β = 79.80°, γ = 60.00°
Element x y z (fractional)
Ho1 0.111 0.111 0.668
Ho2 0.889 0.889 0.332
Eu1 0.000 0.000 0.000
Se1 0.500 0.500 0.500


Compound: EuHo2Si
Source: the Alexandria database
Functional: PBE-GGA
Structure: optimized geometry

Values from the calculation:
- Total energy: -6.26 eV/atom
- N(E_F): 4.077 states/eV/cell
- Spin magnetization: 7.25 μB/cell

a = 3.750 Å, b = 3.750 Å, c = 10.888 Å
α = 80.08°, β = 80.08°, γ = 60.00°
Element x y z (fractional)
Ho1 0.111 0.111 0.667
Ho2 0.889 0.889 0.333
Eu1 0.000 0.000 0.000
Si1 0.500 0.500 0.500


Compound: EuHoSi2
Source: the Alexandria database
Functional: PBE-GGA
Structure: optimized geometry

Values from the calculation:
- Total energy: -6.67 eV/atom
- N(E_F): 7.607 states/eV/cell
- Spin magnetization: 6.80 μB/cell

a = 3.776 Å, b = 3.776 Å, c = 8.457 Å
α = 77.10°, β = 77.10°, γ = 60.00°
Element x y z (fractional)
Si1 0.747 0.747 0.760
Si2 0.253 0.253 0.240
Eu1 0.500 0.500 0.500
Ho1 0.000 0.000 0.000


Compound: SmEuHo2
Source: the Alexandria database
Functional: PBE-GGA
Structure: optimized geometry

Values from the calculation:
- Energy of formation from the pure elements: 167 meV per atom
- Total energy: -5.87 eV/atom
- N(E_F): 6.158 states/eV/cell
- Spin magnetization: 7.72 μB/cell

a = 3.545 Å, b = 3.545 Å, c = 12.724 Å
α = 81.99°, β = 81.99°, γ = 60.00°
Element x y z (fractional)
Ho1 0.091 0.091 0.728
Ho2 0.909 0.909 0.272
Eu1 0.000 0.000 0.000
Sm1 0.500 0.500 0.500


Compound: SmEuHo2
Source: the Alexandria database
Functional: PBE-GGA
Structure: optimized geometry

Values from the calculation:
- Energy of formation from the pure elements: 158 meV per atom
- Total energy: -5.88 eV/atom
- N(E_F): 7.529 states/eV/cell
- Spin magnetization: 7.30 μB/cell

a = 5.753 Å, b = 5.753 Å, c = 5.753 Å
α = 60.00°, β = 60.00°, γ = 60.00°
Element x y z (fractional)
Eu1 0.000 0.000 0.000
Sm1 0.500 0.500 0.500
Ho1 0.750 0.750 0.750
Ho2 0.250 0.250 0.250


total energy of number 8 (SmEuHo2)?
-5.88 eV/atom


Which of these has the highest spin magnetization?
EuHoTmSc


total energy of number 4 (EuHo2Se)?
-6.34 eV/atom


Copy entry 4 word for word.
Compound: EuHo2Se
Source: the Alexandria database
Functional: PBE-GGA
Structure: optimized geometry

Values from the calculation:
- Total energy: -6.34 eV/atom
- N(E_F): 4.322 states/eV/cell
- Spin magnetization: 7.56 μB/cell

a = 3.778 Å, b = 3.778 Å, c = 10.667 Å
α = 79.80°, β = 79.80°, γ = 60.00°
Element x y z (fractional)
Ho1 0.111 0.111 0.668
Ho2 0.889 0.889 0.332
Eu1 0.000 0.000 0.000
Se1 0.500 0.500 0.500